# 1
Computed, not measured: Ho2PdAu after structural relaxation at the PBE level of DFT.

Values from the calculation:
Calculated formation energy ... -920 meV per atom

abc: 4.645 5.629 7.461
angles: 109.52 90.00 90.00
Fractional coordinates of all 8 atoms:
1 Pd 0.750 0.673 0.294
2 Au 0.750 0.674 0.792
3 Ho 0.250 0.781 0.568
4 Ho 0.750 0.229 0.930
5 Ho 0.250 0.771 0.070
6 Au 0.250 0.326 0.208
7 Ho 0.750 0.219 0.432
8 Pd 0.250 0.327 0.706

***

# 2
Computed, not measured: Nb2ReMo after structural relaxation at the PBE level of DFT.

Values from the calculation:
Calculated formation energy ... 732 meV per atom

abc: 5.938 5.938 5.938
angles: 54.33 150.45 135.50
Fractional coordinates of all 4 atoms:
1 Nb 0.000 0.256 0.256
2 Re 0.000 0.500 0.500
3 Mo 0.000 0.000 0.000
4 Nb 0.000 0.744 0.744

***

# 3
Computed, not measured: TiTlNF2 after structural relaxation at the PBE level of DFT.

Values from the calculation:
ΔE_f (raw) ... -1.7033 eV/atom

abc: 4.251 4.251 3.915
angles: 90.00 90.00 90.00
Fractional coordinates of all 5 atoms:
1 Ti 0.000 0.000 0.000
2 F 0.000 0.500 0.000
3 F 0.500 0.000 0.000
4 Tl 0.500 0.500 0.500
5 N 0.000 0.000 0.500

***

Number 1: calculated volume 22.99 A^3/atom. Number 2: calculated volume 17.99 A^3/atom. Number 3: calculated volume 14.15 A^3/atom.